*1*
Computed, not measured: an optimized crystal structure of HfSc3Ag at the PBE-GGA level of DFT.

Output
Crystal system: cubic

```
HfSc3Ag
1.0
-0.6669 -0.3400 -5.0539
-2.7403 -4.2630 0.6484
-4.2601 2.7954 0.3741
Sc Ag Hf
3 1 1
Direct
0.0000 0.0000 0.5000
0.5000 0.0000 0.0000
0.0000 0.5000 0.0000
0.0000 0.0000 0.0000
0.5000 0.5000 0.5000
```

***

*2*
Computed, not measured: an optimized crystal structure of HfSc3Ag at the PBE-GGA level of DFT.

Output
Crystal system: cubic

```
HfSc3Ag
1.0
-1.6396 -4.8843 0.5624
3.0399 -0.5412 4.1626
-3.8641 1.6467 3.0360
Sc Hf Ag
3 1 1
Direct
0.0000 0.0000 0.5000
0.0000 0.5000 0.0000
0.5000 0.0000 0.0000
0.0000 0.0000 0.0000
0.5000 0.5000 0.5000
```

***

Most favorable first, least favorable last: *1*, *2*

***

*1*
Computed, not measured: an optimized crystal structure of Hf2ScAg2 at the PBE-GGA level of DFT.

Output
Crystal system: tetragonal

```
Hf2ScAg2
1.0
-7.9825 1.7024 -2.0775
-2.6296 -6.2809 4.9568
-0.1940 1.8946 2.2978
Hf Ag Sc
4 4 2
Direct
0.8715 0.6285 0.0000
0.3715 0.8715 0.0000
0.6285 0.1285 0.0000
0.1285 0.3715 0.0000
0.3296 0.1704 0.5000
0.1704 0.6704 0.5000
0.8296 0.3296 0.5000
0.6704 0.8296 0.5000
0.0000 0.0000 0.0000
0.5000 0.5000 0.0000
```

***

*2*
Computed, not measured: an optimized crystal structure of Hf2ScAg2 at the PBE-GGA level of DFT.

Output
Crystal system: tetragonal

```
Hf2ScAg2
1.0
7.8865 0.0000 0.0000
0.0000 7.8865 0.0000
0.0000 0.0000 3.3808
Ag Hf Sc
4 4 2
Direct
0.3738 0.8738 0.0000
0.8738 0.6262 0.0000
0.6262 0.1262 0.0000
0.1262 0.3738 0.0000
0.1717 0.6717 0.5000
0.3283 0.1717 0.5000
0.8283 0.3283 0.5000
0.6717 0.8283 0.5000
0.5000 0.5000 0.0000
0.0000 0.0000 0.0000
```

***

Most favorable first, least favorable last: *2*, *1*

***

*1*
Computed, not measured: an optimized crystal structure of Hf3AgSe at the PBE-GGA level of DFT.

Output
Crystal system: cubic

```
Hf3AgSe
1.0
4.9045 0.0000 0.0000
0.0000 4.9045 0.0000
0.0000 0.0000 4.9045
Se Ag Hf
1 1 3
Direct
0.0000 0.0000 0.0000
0.5000 0.5000 0.5000
0.5000 0.0000 0.0000
0.0000 0.5000 0.0000
0.0000 0.0000 0.5000
```

***

*2*
Computed, not measured: an optimized crystal structure of Hf3AgSe at the PBE-GGA level of DFT.

Output
Crystal system: cubic

```
Hf3AgSe
1.0
-1.2247 -4.7101 1.4919
3.2850 -1.9244 -3.3788
3.6905 0.1499 3.5027
Se Ag Hf
1 1 3
Direct
0.5000 0.5000 0.5000
0.0000 0.0000 0.0000
0.0000 0.0000 0.5000
0.5000 0.0000 0.0000
0.0000 0.5000 0.0000
```

***

Most favorable first, least favorable last: *1*, *2*

***

*1*
Computed, not measured: an optimized crystal structure of HfSiAg3 at the PBE-GGA level of DFT.

Output
Crystal system: cubic

```
HfSiAg3
1.0
-4.0308 2.0098 -1.2822
-2.0197 -1.5408 3.9342
1.2665 3.9393 2.1930
Ag Hf Si
3 1 1
Direct
0.0000 0.0000 0.5000
0.0000 0.5000 0.0000
0.5000 0.0000 0.0000
0.5000 0.5000 0.5000
0.0000 0.0000 0.0000
```

***

*2*
Computed, not measured: an optimized crystal structure of HfSiAg3 at the PBE-GGA level of DFT.

Output
Crystal system: cubic

```
HfSiAg3
1.0
-5.1662 -0.5271 0.2921
0.2969 -0.0324 5.1926
-0.5244 5.1743 0.0622
Ag Si Hf
3 1 1
Direct
0.0000 0.5000 0.0000
0.5000 0.0000 0.0000
0.0000 0.0000 0.5000
0.5000 0.5000 0.5000
0.0000 0.0000 0.0000
```

***

Most favorable first, least favorable last: *1*, *2*